Entry 1:
Compound: Cd6In7
Source: the Alexandria database
Functional: GGA-PBE
Structure: relaxed

Geometry as POSCAR:
```
Cd6In7
1.0
6.468 0.000 1.299
3.104 5.675 1.299
1.353 0.802 10.014
Cd In
6 7
Direct
0.050 0.050 0.850 Cd
0.950 0.950 0.150 Cd
0.336 0.336 0.992 Cd
0.153 0.153 0.540 Cd
0.847 0.847 0.460 Cd
0.664 0.664 0.008 Cd
0.926 0.409 0.256 In
0.409 0.926 0.256 In
0.591 0.591 0.744 In
0.591 0.074 0.744 In
0.409 0.409 0.256 In
0.500 0.500 0.500 In
0.074 0.591 0.744 In
```

Properties
Formation energy from the elements in meV/atom: 120
Theoretical density in g/cm³: 6.9

=====

Entry 2:
Compound: Sm4S2N
Source: the Alexandria database
Functional: GGA-PBE
Structure: relaxed

Geometry as POSCAR:
```
Sm4S2N
1.0
3.745 0.000 0.544
1.833 3.265 0.544
0.003 0.002 13.138
Sm S N
4 2 1
Direct
0.128 0.128 0.616 Sm
0.872 0.872 0.384 Sm
0.702 0.702 0.895 Sm
0.298 0.298 0.105 Sm
0.415 0.415 0.755 S
0.585 0.585 0.245 S
0.000 0.000 0.000 N
```

Properties
E_form (uncorrected) in kJ per mole of atoms: -148
Theoretical density in g/cm³: 7.0

=====

Entry 3:
Compound: TcRu
Source: the Alexandria database
Functional: GGA-PBE
Structure: relaxed

Geometry as POSCAR:
```
TcRu
1.0
-0.602 -3.037 3.621
2.216 -3.034 -2.176
4.667 1.781 2.270
Tc Ru
4 4
Direct
0.084 0.250 0.623 Tc
0.584 0.250 0.877 Tc
0.416 0.750 0.123 Tc
0.916 0.750 0.377 Tc
0.916 0.750 0.874 Ru
0.084 0.250 0.126 Ru
0.584 0.250 0.374 Ru
0.416 0.750 0.626 Ru
```

Properties
E above lowest polymorph in eV per atom: 0.005
Formation energy from the elements in meV/atom: -61
Theoretical density in g/cm³: 11.6

=====

Values for N(E_F), states/eV per atom, ordered as above
0.5360, 0.4378, 0.9716
Values for DFT total energy, eV per atom, ordered as above
-1.777, -6.602, -9.882